Density functional theory data (PBE) for crystalline Ca2HfIr at its relaxed geometry.

N(E_F), states/eV/f.u.: 3.29
Space-group type: I-42d
Density, g cm⁻³: 5.7
Crystal system: tetragonal
Raw total energy, eV per atom: -5.5469
Energy relative to the elements, eV/atom: 0.16
Relative energy among the computed polymorphs, eV/atom: 0.000

```
8
Lattice="-5.1034 5.1034 2.5135 5.1034 -5.1034 2.5135 5.1034 5.1034 -2.5135" Properties=species:S:1:pos:R:3 pbc="T T T"
Ca -1.1577 2.5517 0.6284
Ca 2.5517 3.9457 1.8852
Ca 1.1577 7.6551 0.6284
Ca -2.5517 6.2610 1.8852
Hf 5.1034 0.0000 1.2568
Hf 0.0000 0.0000 2.5135
Ir 0.0000 0.0000 0.0000
Ir 0.0000 5.1034 1.2568
```